(1)
This record from Alexandria via LeMat-Bulk describes a geometry-optimized MgCu2IN structure. The functional is PBE.

electronic total energy: -1.9864 eV per atom
formation energy from raw total energies: 1.9461 eV per atom
size of the total moment: 0.00 μB/f.u.

extended XYZ file:
```
5
Lattice="-4.1053 1.5351 -1.6238 -1.9944 -0.9854 4.1107 1.1914 5.0881 1.7978" Properties=species:S:1:pos:R:3 pbc="T T T"
I 0.5957 2.5441 0.8989
Mg 0.0000 0.0000 0.0000
Cu -0.9972 -0.4927 2.0553
Cu -2.0526 0.7675 -0.8119
N -2.4541 2.8189 2.1423
```


(2)
This record from Alexandria via LeMat-Bulk describes a geometry-optimized MgCuNiI2 structure. The functional is PBE.

electronic total energy: -2.4607 eV per atom
formation energy from raw total energies: 0.4537 eV per atom
size of the total moment: 0.00 μB/f.u.

extended XYZ file:
```
5
Lattice="-5.1597 -1.0786 -0.0651 0.2836 -1.0806 -4.5734 1.0328 -5.0162 1.2493" Properties=species:S:1:pos:R:3 pbc="T T T"
I 0.5164 -2.5081 0.6247
I -2.5799 -0.5393 -0.0325
Ni 0.0000 0.0000 0.0000
Mg 0.1418 -0.5403 -2.2867
Cu -1.9217 -3.5877 -1.6946
```


Look up the electronic total energy of the first one.
-1.9864 eV per atom